Record 1
This record from Alexandria via LeMat-Bulk describes crystalline TlCdInGe at its relaxed geometry. The functional is PBE.

Calculated values
Its volume is 25.3 A^3/atom. The calculation puts the density of states at the Fermi level at 6.14 states/eV per cell. The value obtained for the calculated formation energy is 158 meV per atom.

a = 7.395 Å, b = 7.395 Å, c = 7.395 Å
α = 90.00°, β = 90.00°, γ = 90.00°
Space group F-43m (No. 216)
Inequivalent atoms, fractional coordinates:
Tl1 0.000 0.000 0.000 [4 per cell]
Cd1 0.250 0.250 0.750 [4 per cell]
In1 0.250 0.250 0.250 [4 per cell]
Ge1 0.000 0.000 0.500 [4 per cell]

***

Record 2
This record from Alexandria via LeMat-Bulk describes crystalline ZnCdInGe at its relaxed geometry. The functional is PBE.

Calculated values
Its volume is 21.7 A^3/atom. The calculation puts the density of states at the Fermi level at 13.87 states/eV per cell. The value obtained for the calculated formation energy is 219 meV per atom.

a = 7.027 Å, b = 7.027 Å, c = 7.027 Å
α = 90.00°, β = 90.00°, γ = 90.00°
Space group F-43m (No. 216)
Inequivalent atoms, fractional coordinates:
Zn1 0.000 0.000 0.000 [4 per cell]
Cd1 0.250 0.250 0.250 [4 per cell]
In1 0.250 0.250 0.750 [4 per cell]
Ge1 0.000 0.000 0.500 [4 per cell]

***

Record 3
This record from Alexandria via LeMat-Bulk describes crystalline CdGeIr2 at its relaxed geometry. The functional is PBE.

Calculated values
Its volume is 17.6 A^3/atom. The calculation puts the density of states at the Fermi level at 2.39 states/eV per cell. The value obtained for the calculated formation energy is 270 meV per atom.

a = 7.149 Å, b = 7.149 Å, c = 5.512 Å
α = 90.00°, β = 90.00°, γ = 90.00°
Space group I-42d (No. 122)
Inequivalent atoms, fractional coordinates:
Cd1 0.000 0.000 0.000 [4 per cell]
Ge1 0.000 0.000 0.500 [4 per cell]
Ir1 0.200 0.250 0.625 [8 per cell]

***

Record 4
This record from Alexandria via LeMat-Bulk describes crystalline CdGeIr3 at its relaxed geometry. The functional is PBE.

Calculated values
Its volume is 22.9 A^3/atom. The calculation puts the density of states at the Fermi level at 7.38 states/eV per cell. For the energy above the most stable polymorph in this dataset, the calculation gives 1384.9 meV per atom. The value obtained for the calculated formation energy is 2255 meV per atom.

a = 4.858 Å, b = 4.858 Å, c = 4.858 Å
α = 90.00°, β = 90.00°, γ = 90.00°
Space group Pm-3m (No. 221)
Inequivalent atoms, fractional coordinates:
Cd1 0.000 0.000 0.000 [1 per cell]
Ge1 0.500 0.500 0.500 [1 per cell]
Ir1 0.000 0.000 0.500 [3 per cell]

***

Record 5
This record from Alexandria via LeMat-Bulk describes crystalline CdGe3Ir at its relaxed geometry. The functional is PBE.

Calculated values
Its volume is 23.1 A^3/atom. The calculation puts the density of states at the Fermi level at 4.43 states/eV per cell. For the energy above the most stable polymorph in this dataset, the calculation gives 0.0 meV per atom. The value obtained for the calculated formation energy is 292 meV per atom.

a = 4.867 Å, b = 4.867 Å, c = 4.867 Å
α = 90.00°, β = 90.00°, γ = 90.00°
Space group Pm-3m (No. 221)
Inequivalent atoms, fractional coordinates:
Cd1 0.000 0.000 0.000 [1 per cell]
Ge1 0.000 0.500 0.500 [3 per cell]
Ir1 0.500 0.500 0.500 [1 per cell]

***

Record 6
This record from Alexandria via LeMat-Bulk describes crystalline CdGe2Ir at its relaxed geometry. The functional is PBE.

Calculated values
Its volume is 25.5 A^3/atom. The calculation puts the density of states at the Fermi level at 7.18 states/eV per cell. The value obtained for the calculated formation energy is 247 meV per atom.

a = 6.081 Å, b = 6.081 Å, c = 11.039 Å
α = 90.00°, β = 90.00°, γ = 90.00°
Space group I-42d (No. 122)
Inequivalent atoms, fractional coordinates:
Cd1 0.000 0.000 0.000 [4 per cell]
Ge1 0.194 0.250 0.625 [8 per cell]
Ir1 0.000 0.000 0.500 [4 per cell]

***

Record 7
This record from Alexandria via LeMat-Bulk describes crystalline CdGe3Ir3 at its relaxed geometry. The functional is PBE.

Calculated values
Its volume is 22.4 A^3/atom. The calculation puts the density of states at the Fermi level at 8.70 states/eV per cell. The value obtained for the calculated formation energy is 265 meV per atom.

a = 6.794 Å, b = 6.794 Å, c = 6.794 Å
α = 90.00°, β = 90.00°, γ = 90.00°
Space group Pm-3n (No. 223)
Inequivalent atoms, fractional coordinates:
Cd1 0.000 0.000 0.000 [2 per cell]
Ge1 0.000 0.250 0.500 [6 per cell]
Ir1 0.000 0.500 0.250 [6 per cell]

***

Record 8
This record from Alexandria via LeMat-Bulk describes crystalline CdGeIr2 at its relaxed geometry. The functional is PBE.

Calculated values
Its volume is 15.9 A^3/atom. The calculation puts the density of states at the Fermi level at 1.52 states/eV per cell. The value obtained for the calculated formation energy is -60 meV per atom.

a = 2.989 Å, b = 2.989 Å, c = 7.100 Å
α = 90.00°, β = 90.00°, γ = 90.00°
Space group P4/mmm (No. 123)
Inequivalent atoms, fractional coordinates:
Cd1 0.000 0.000 0.000 [1 per cell]
Ge1 0.000 0.000 0.500 [1 per cell]
Ir1 0.500 0.500 0.291 [2 per cell]

***

Record 9
This record from Alexandria via LeMat-Bulk describes crystalline CdGe2Ir at its relaxed geometry. The functional is PBE.

Calculated values
Its volume is 20.4 A^3/atom. The calculation puts the density of states at the Fermi level at 8.02 states/eV per cell. The value obtained for the calculated formation energy is 26 meV per atom.

a = 3.2982 Å, b = 3.2982 Å, c = 25.9350 Å
α = 90.00°, β = 90.00°, γ = 120.00°
Space group R-3m (No. 166, hexagonal axes)
Inequivalent atoms, fractional coordinates:
Cd1 0.0000 0.0000 0.0000 [3 per cell]
Ge1 0.0000 0.0000 0.1027 [6 per cell]
Ir1 0.0000 0.0000 0.5000 [3 per cell]

***

Record 10
This record from Alexandria via LeMat-Bulk describes crystalline CdGeIr3 at its relaxed geometry. The functional is PBE.

Calculated values
Its volume is 19.2 A^3/atom. The calculation puts the density of states at the Fermi level at 5.99 states/eV per cell. For the energy above the most stable polymorph in this dataset, the calculation gives 0.0 meV per atom. The value obtained for the calculated formation energy is 870 meV per atom.

a = 4.576 Å, b = 4.576 Å, c = 4.576 Å
α = 90.00°, β = 90.00°, γ = 90.00°
Space group Pm-3m (No. 221)
Inequivalent atoms, fractional coordinates:
Cd1 0.000 0.000 0.000 [1 per cell]
Ge1 0.500 0.500 0.500 [1 per cell]
Ir1 0.000 0.500 0.500 [3 per cell]

***

Record 11
This record from Alexandria via LeMat-Bulk describes crystalline CdGeIr2 at its relaxed geometry. The functional is PBE.

Calculated values
Its volume is 16.1 A^3/atom. The calculation puts the density of states at the Fermi level at 5.73 states/eV per cell. The value obtained for the calculated formation energy is 13 meV per atom.

a = 2.9386 Å, b = 2.9386 Å, c = 25.8975 Å
α = 90.00°, β = 90.00°, γ = 120.00°
Space group R-3m (No. 166, hexagonal axes)
Inequivalent atoms, fractional coordinates:
Cd1 0.0000 0.0000 0.0000 [3 per cell]
Ge1 0.0000 0.0000 0.5000 [3 per cell]
Ir1 0.0000 0.0000 0.2393 [6 per cell]

***

Record 12
This record from Alexandria via LeMat-Bulk describes crystalline KCdGeIr at its relaxed geometry. The functional is PBE.

Calculated values
Its volume is 27.6 A^3/atom. The calculation puts the density of states at the Fermi level at 3.62 states/eV per cell. The value obtained for the calculated formation energy is -206 meV per atom.

a = 4.150 Å, b = 4.150 Å, c = 12.810 Å
α = 90.00°, β = 90.00°, γ = 90.00°
Space group P4/nmm (No. 129, origin choice 2)
Inequivalent atoms, fractional coordinates:
K1 0.250 0.250 0.240 [2 per cell]
Cd1 0.250 0.750 0.500 [2 per cell]
Ge1 0.250 0.250 0.895 [2 per cell]
Ir1 0.250 0.750 0.000 [2 per cell]

***

Q: Look up the calculated formation energy of the eleventh one.
A: 13 meV per atom

***

Q: calculated formation energy of number 11 (CdGeIr2)?
A: 13 meV per atom